# 1
Material: Pr3AlPd3
Method: DFT, PBE
State: relaxed

Geometry as POSCAR:
```
Pr3AlPd3
1.0
2.097 -5.457 0.000
2.097 5.457 0.000
0.000 0.000 14.545
Pr Al Pd
6 2 6
direct
0.004 0.996 0.750
0.284 0.716 0.603
0.284 0.716 0.897
0.716 0.284 0.103
0.716 0.284 0.397
0.996 0.004 0.250
0.000 0.000 0.000
0.000 0.000 0.500
0.280 0.720 0.250
0.430 0.570 0.089
0.430 0.570 0.411
0.570 0.430 0.589
0.570 0.430 0.911
0.720 0.280 0.750
```

Formation energy from the elements = -74 kJ/mol of atoms
VASP energy = -78.04 eV for the cell shown
N(E_F) = 11.21 states/eV per cell
Symmetry = No. 63

***

# 2
Material: SrRuSeBr2
Method: DFT, PBE
State: relaxed

Geometry as POSCAR:
```
SrRuSeBr2
1.0
5.739 0.000 0.000
0.000 5.739 0.000
0.000 0.000 6.001
Sr Ru Se Br
1 1 1 2
direct
0.000 0.000 0.000
0.500 0.500 0.500
0.000 0.000 0.500
0.000 0.500 0.000
0.500 0.000 0.000
```

VASP energy = -16.53 eV for the cell shown
Raw formation energy = 252 meV per atom
N(E_F) = 6.76 states/eV per cell
Energy relative to the lowest polymorph listed for this composition = 931 meV per atom
Symmetry = No. 123

***

# 3
Material: PRuPt4
Method: DFT, PBE
State: relaxed

Geometry as POSCAR:
```
PRuPt4
1.0
0.000 3.701 3.701
3.701 0.000 3.701
3.701 3.701 0.000
P Ru Pt
1 1 4
direct
0.000 0.000 0.000
0.250 0.250 0.250
0.126 0.625 0.625
0.625 0.126 0.625
0.625 0.625 0.126
0.625 0.625 0.625
```

Formation energy from the elements = 58 kJ/mol of atoms
VASP energy = -35.25 eV for the cell shown
N(E_F) = 7.96 states/eV per cell
Symmetry = No. 216